Computed, not measured: SbSe2Cl after structural relaxation at the GGA-PBE level of DFT.

## Properties
Formation energy (no corrections): 26 meV/atom
Excess energy over the best structure of this formula in the dataset: 1.35 eV/f.u.
DFT total energy: -3.2083 eV per atom

Cell and atoms, written as POSCAR:
```
SbSe2Cl
1.0
3.8667 0.0000 0.0000
0.0000 3.8667 0.0000
0.0000 0.0000 6.6475
Cl Sb Se
1 1 2
direct
0.5000 0.5000 0.2500 Cl
0.5000 0.5000 0.7500 Sb
0.0000 0.0000 0.5599 Se
0.0000 0.0000 0.9401 Se
```